(1)
{
  "formula": "CaIn3Cu3",
  "functional": "PBE",
  "state": "relaxed",
  "sg": "No. 223",
  "formation_enthalpy_0k_ev_per_atom": 0.25,
  "final_energy_ev_per_atom": -2.97,
  "dos_ef_per_ev_cell": 7.2,
  "total_magnetization_mub_per_fu": 0.00,
  "cell": [[7.1783, 0.0000, 0.0000], [0.0000, 7.1783, 0.0000], [0.0000, 0.0000, 7.1783]],
  "species": ["Ca", "Ca", "In", "In", "In", "In", "In", "In", "Cu", "Cu", "Cu", "Cu", "Cu", "Cu"],
  "frac_coords": [[0.0000, 0.0000, 0.0000], [0.5000, 0.5000, 0.5000], [0.0000, 0.2500, 0.5000], [0.0000, 0.7500, 0.5000], [0.2500, 0.5000, 0.0000], [0.5000, 0.0000, 0.2500], [0.5000, 0.0000, 0.7500], [0.7500, 0.5000, 0.0000], [0.0000, 0.5000, 0.2500], [0.0000, 0.5000, 0.7500], [0.2500, 0.0000, 0.5000], [0.5000, 0.2500, 0.0000], [0.5000, 0.7500, 0.0000], [0.7500, 0.0000, 0.5000]]
}

(2)
{
  "formula": "Si3Cl",
  "functional": "PBE",
  "state": "relaxed",
  "sg": "No. 166",
  "final_energy_ev_per_atom": -4.28,
  "de_polymorph_ev_per_fu": 0.395,
  "dos_ef_per_ev_cell": 8.5,
  "raw_formation_energy_ev_per_fu": 1.0,
  "total_magnetization_mub_per_fu": 0.00,
  "cell": [[3.7200, 0.0000, 0.0000], [-1.8600, 3.2216, 0.0000], [0.0000, 0.0000, 19.2559]],
  "species": ["Si", "Si", "Si", "Si", "Si", "Si", "Si", "Si", "Si", "Cl", "Cl", "Cl"],
  "frac_coords": [[0.0000, 0.0000, 0.0000], [0.0000, 0.0000, 0.2691], [0.0000, 0.0000, 0.7309], [0.3333, 0.6667, 0.3976], [0.3333, 0.6667, 0.6667], [0.3333, 0.6667, 0.9358], [0.6667, 0.3333, 0.0642], [0.6667, 0.3333, 0.3333], [0.6667, 0.3333, 0.6024], [0.0000, 0.0000, 0.5000], [0.3333, 0.6667, 0.1667], [0.6667, 0.3333, 0.8333]]
}

(3)
{
  "formula": "Pm2ZnFe2Ni5",
  "functional": "PBE",
  "state": "relaxed",
  "sg": "No. 127",
  "formation_enthalpy_0k_ev_per_atom": -0.06,
  "final_energy_ev_per_atom": -5.72,
  "dos_ef_per_ev_cell": 19.2,
  "total_magnetization_mub_per_fu": 5.66,
  "cell": [[8.9734, 0.0000, 0.0000], [0.0000, 8.9734, 0.0000], [0.0000, 0.0000, 3.7956]],
  "species": ["Pm", "Pm", "Pm", "Pm", "Zn", "Zn", "Fe", "Fe", "Fe", "Fe", "Ni", "Ni", "Ni", "Ni", "Ni", "Ni", "Ni", "Ni", "Ni", "Ni"],
  "frac_coords": [[0.1867, 0.3133, 0.0000], [0.3133, 0.8133, 0.0000], [0.6867, 0.1867, 0.0000], [0.8133, 0.6867, 0.0000], [0.0000, 0.0000, 0.0000], [0.5000, 0.5000, 0.0000], [0.1098, 0.6098, 0.0000], [0.3902, 0.1098, 0.0000], [0.6098, 0.8902, 0.0000], [0.8902, 0.3902, 0.0000], [0.0000, 0.5000, 0.5000], [0.0584, 0.7868, 0.5000], [0.2132, 0.0584, 0.5000], [0.2868, 0.5584, 0.5000], [0.4416, 0.2868, 0.5000], [0.5000, 0.0000, 0.5000], [0.5584, 0.7132, 0.5000], [0.7132, 0.4416, 0.5000], [0.7868, 0.9416, 0.5000], [0.9416, 0.2132, 0.5000]]
}

(4)
{
  "formula": "La2CeGa3Pt4",
  "functional": "PBE",
  "state": "relaxed",
  "sg": "No. 115",
  "formation_enthalpy_0k_ev_per_atom": -0.97,
  "final_energy_ev_per_atom": -5.87,
  "dos_ef_per_ev_cell": 7.1,
  "total_magnetization_mub_per_fu": 0.25,
  "cell": [[4.4160, 0.0000, 0.0000], [0.0000, 4.4160, 0.0000], [0.0000, 0.0000, 11.0683]],
  "species": ["La", "La", "Ce", "Ga", "Ga", "Ga", "Pt", "Pt", "Pt", "Pt"],
  "frac_coords": [[0.0000, 0.5000, 0.2253], [0.5000, 0.0000, 0.7747], [0.0000, 0.0000, 0.5000], [0.0000, 0.5000, 0.8815], [0.5000, 0.0000, 0.1185], [0.5000, 0.5000, 0.5000], [0.0000, 0.0000, 0.0000], [0.0000, 0.5000, 0.6546], [0.5000, 0.0000, 0.3454], [0.5000, 0.5000, 0.0000]]
}

(5)
{
  "formula": "Pu6Tc2Au",
  "functional": "PBE",
  "state": "relaxed",
  "sg": "No. 162",
  "formation_enthalpy_0k_ev_per_atom": 0.25,
  "final_energy_ev_per_atom": -11.97,
  "dos_ef_per_ev_cell": 20.5,
  "total_magnetization_mub_per_fu": 0.00,
  "cell": [[7.8187, 0.0000, 0.0000], [-3.9094, 6.7712, 0.0000], [0.0000, 0.0000, 2.9091]],
  "species": ["Pu", "Pu", "Pu", "Pu", "Pu", "Pu", "Tc", "Tc", "Au"],
  "frac_coords": [[0.0000, 0.3506, 0.0915], [0.0000, 0.6494, 0.9085], [0.3506, 0.0000, 0.0915], [0.3506, 0.3506, 0.9085], [0.6494, 0.0000, 0.9085], [0.6494, 0.6494, 0.0915], [0.3333, 0.6667, 0.5000], [0.6667, 0.3333, 0.5000], [0.0000, 0.0000, 0.5000]]
}

(6)
{
  "formula": "KMo2Cl",
  "functional": "PBE",
  "state": "relaxed",
  "sg": "No. 44",
  "final_energy_ev_per_atom": -5.53,
  "de_polymorph_ev_per_fu": 2.189,
  "dos_ef_per_ev_cell": 2.5,
  "raw_formation_energy_ev_per_fu": 2.5,
  "total_magnetization_mub_per_fu": 0.16,
  "cell": [[3.1999, 0.0000, 0.0000], [0.0000, 6.8584, 0.0000], [0.0000, 0.0000, 10.5586]],
  "species": ["K", "K", "Mo", "Mo", "Mo", "Mo", "Cl", "Cl"],
  "frac_coords": [[0.0000, 0.0000, 0.0000], [0.5000, 0.5000, 0.5000], [0.0000, 0.0000, 0.5417], [0.0000, 0.5000, 0.8816], [0.5000, 0.0000, 0.3816], [0.5000, 0.5000, 0.0417], [0.0000, 0.5000, 0.2477], [0.5000, 0.0000, 0.7477]]
}

(7)
{
  "formula": "BaIrCl",
  "functional": "PBE",
  "state": "relaxed",
  "sg": "No. 8",
  "final_energy_ev_per_atom": -5.40,
  "de_polymorph_ev_per_fu": 0.003,
  "dos_ef_per_ev_cell": 7.0,
  "raw_formation_energy_ev_per_fu": -3.6,
  "total_magnetization_mub_per_fu": 0.00,
  "cell": [[7.4377, 0.0000, 0.0000], [0.0000, 4.4138, 0.0000], [-2.5312, 0.0000, 11.7823]],
  "species": ["Ba", "Ba", "Ba", "Ba", "Ir", "Ir", "Ir", "Ir", "Cl", "Cl", "Cl", "Cl"],
  "frac_coords": [[0.0000, 0.0000, 0.0000], [0.1440, 0.0000, 0.4233], [0.5000, 0.5000, 0.0000], [0.6440, 0.5000, 0.4233], [0.2503, 0.5000, 0.2117], [0.3958, 0.0000, 0.2117], [0.7503, 0.0000, 0.2117], [0.8958, 0.5000, 0.2117], [0.1125, 0.5000, 0.8570], [0.3539, 0.5000, 0.5666], [0.6125, 0.0000, 0.8570], [0.8539, 0.0000, 0.5666]]
}

(8)
{
  "formula": "Pr6YTm2Th",
  "functional": "PBE",
  "state": "relaxed",
  "sg": "No. 15",
  "formation_enthalpy_0k_ev_per_atom": 0.14,
  "final_energy_ev_per_atom": -5.01,
  "dos_ef_per_ev_cell": 28.4,
  "total_magnetization_mub_per_fu": 0.00,
  "cell": [[4.7082, -7.5971, 0.0000], [4.7082, 7.5971, 0.0000], [-1.3065, 0.0000, 9.6609]],
  "species": ["Pr", "Pr", "Pr", "Pr", "Pr", "Pr", "Pr", "Pr", "Pr", "Pr", "Pr", "Pr", "Y", "Y", "Tm", "Tm", "Tm", "Tm", "Th", "Th"],
  "frac_coords": [[0.0079, 0.5732, 0.1873], [0.1083, 0.7641, 0.5580], [0.2359, 0.8917, 0.9420], [0.2971, 0.5140, 0.3814], [0.4268, 0.9921, 0.3127], [0.4860, 0.7029, 0.1186], [0.5140, 0.2971, 0.8814], [0.5732, 0.0079, 0.6873], [0.7029, 0.4860, 0.6186], [0.7641, 0.1083, 0.0580], [0.8917, 0.2359, 0.4420], [0.9921, 0.4268, 0.8127], [0.4093, 0.5907, 0.7500], [0.5907, 0.4093, 0.2500], [0.2009, 0.2909, 0.0511], [0.2909, 0.2009, 0.5511], [0.7091, 0.7991, 0.4489], [0.7991, 0.7091, 0.9489], [0.0313, 0.9687, 0.2500], [0.9687, 0.0313, 0.7500]]
}

(9)
{
  "formula": "BaZr2Cu",
  "functional": "PBE",
  "state": "relaxed",
  "sg": "No. 47",
  "formation_enthalpy_0k_ev_per_atom": 0.53,
  "final_energy_ev_per_atom": -5.25,
  "de_polymorph_ev_per_fu": 1.553,
  "dos_ef_per_ev_cell": 4.3,
  "total_magnetization_mub_per_fu": 0.00,
  "cell": [[3.3389, 0.0000, 0.0000], [0.0000, 5.3752, 0.0000], [0.0000, 0.0000, 5.5116]],
  "species": ["Ba", "Zr", "Zr", "Cu"],
  "frac_coords": [[0.0000, 0.0000, 0.0000], [0.0000, 0.5000, 0.5000], [0.5000, 0.0000, 0.5000], [0.5000, 0.5000, 0.0000]]
}

(10)
{
  "formula": "AgTePN2",
  "functional": "PBE",
  "state": "relaxed",
  "sg": "No. 123",
  "final_energy_ev_per_atom": -3.69,
  "de_polymorph_ev_per_fu": 4.164,
  "dos_ef_per_ev_cell": 3.6,
  "raw_formation_energy_ev_per_fu": 9.6,
  "total_magnetization_mub_per_fu": 3.85,
  "cell": [[4.0134, 0.0000, 0.0000], [0.0000, 4.0134, 0.0000], [0.0000, 0.0000, 6.8417]],
  "species": ["Ag", "Te", "P", "N", "N"],
  "frac_coords": [[0.0000, 0.0000, 0.0000], [0.0000, 0.0000, 0.5000], [0.5000, 0.5000, 0.5000], [0.0000, 0.5000, 0.0000], [0.5000, 0.0000, 0.0000]]
}

(11)
{
  "formula": "Nd5Si4",
  "functional": "PBE",
  "state": "relaxed",
  "sg": "No. 12",
  "final_energy_ev_per_atom": -5.74,
  "de_polymorph_ev_per_fu": 0.071,
  "dos_ef_per_ev_cell": 6.3,
  "raw_formation_energy_ev_per_fu": -6.1,
  "total_magnetization_mub_per_fu": 0.00,
  "cell": [[5.5219, -2.2239, 0.0000], [5.5219, 2.2239, 0.0000], [-3.7541, 0.0000, 9.2639]],
  "species": ["Nd", "Nd", "Nd", "Nd", "Nd", "Si", "Si", "Si", "Si"],
  "frac_coords": [[0.0000, 0.0000, 0.0000], [0.1047, 0.1047, 0.3926], [0.2474, 0.2474, 0.8320], [0.7526, 0.7526, 0.1680], [0.8953, 0.8953, 0.6074], [0.3898, 0.3898, 0.3922], [0.4516, 0.4516, 0.1764], [0.5484, 0.5484, 0.8236], [0.6102, 0.6102, 0.6078]]
}

(12)
{
  "formula": "CsK2HgPt",
  "functional": "PBE",
  "state": "relaxed",
  "sg": "No. 123",
  "formation_enthalpy_0k_ev_per_atom": 0.01,
  "final_energy_ev_per_atom": -1.87,
  "de_polymorph_ev_per_fu": 0.376,
  "dos_ef_per_ev_cell": 4.6,
  "total_magnetization_mub_per_fu": 0.35,
  "cell": [[6.1873, 0.0000, 0.0000], [0.0000, 6.1873, 0.0000], [0.0000, 0.0000, 6.6729]],
  "species": ["Cs", "K", "K", "Hg", "Pt"],
  "frac_coords": [[0.0000, 0.0000, 0.0000], [0.0000, 0.5000, 0.5000], [0.5000, 0.0000, 0.5000], [0.5000, 0.5000, 0.0000], [0.0000, 0.0000, 0.5000]]
}

Repeat the ninth record exactly.
{
  "formula": "BaZr2Cu",
  "functional": "PBE",
  "state": "relaxed",
  "sg": "No. 47",
  "formation_enthalpy_0k_ev_per_atom": 0.53,
  "final_energy_ev_per_atom": -5.25,
  "de_polymorph_ev_per_fu": 1.553,
  "dos_ef_per_ev_cell": 4.3,
  "total_magnetization_mub_per_fu": 0.00,
  "cell": [[3.3389, 0.0000, 0.0000], [0.0000, 5.3752, 0.0000], [0.0000, 0.0000, 5.5116]],
  "species": ["Ba", "Zr", "Zr", "Cu"],
  "frac_coords": [[0.0000, 0.0000, 0.0000], [0.0000, 0.5000, 0.5000], [0.5000, 0.0000, 0.5000], [0.5000, 0.5000, 0.0000]]
}

Copy entry 7 word for word.
{
  "formula": "BaIrCl",
  "functional": "PBE",
  "state": "relaxed",
  "sg": "No. 8",
  "final_energy_ev_per_atom": -5.40,
  "de_polymorph_ev_per_fu": 0.003,
  "dos_ef_per_ev_cell": 7.0,
  "raw_formation_energy_ev_per_fu": -3.6,
  "total_magnetization_mub_per_fu": 0.00,
  "cell": [[7.4377, 0.0000, 0.0000], [0.0000, 4.4138, 0.0000], [-2.5312, 0.0000, 11.7823]],
  "species": ["Ba", "Ba", "Ba", "Ba", "Ir", "Ir", "Ir", "Ir", "Cl", "Cl", "Cl", "Cl"],
  "frac_coords": [[0.0000, 0.0000, 0.0000], [0.1440, 0.0000, 0.4233], [0.5000, 0.5000, 0.0000], [0.6440, 0.5000, 0.4233], [0.2503, 0.5000, 0.2117], [0.3958, 0.0000, 0.2117], [0.7503, 0.0000, 0.2117], [0.8958, 0.5000, 0.2117], [0.1125, 0.5000, 0.8570], [0.3539, 0.5000, 0.5666], [0.6125, 0.0000, 0.8570], [0.8539, 0.0000, 0.5666]]
}

Number 3 is which compound?
Pm2ZnFe2Ni5